(1)
This record from Alexandria describes an optimized crystal structure of Os4Pt5. The functional is GGA-PBEsol.

Lattice parameters (Å, degrees): 6.140 6.140 6.140 95.63 95.63 143.49
Atoms (fractional coordinates):
Os 0.000 0.345 0.345
Os 0.000 0.655 0.655
Os 0.345 0.000 0.345
Os 0.655 0.000 0.655
Pt 0.000 0.000 0.000
Pt 0.330 0.330 0.660
Pt 0.330 0.670 0.000
Pt 0.670 0.330 0.000
Pt 0.670 0.670 0.340

Properties
SG: No. 139
ΔE_f: 0.0750 eV/atom
Total energy: -9.22 eV/atom


(2)
This record from Alexandria describes an optimized crystal structure of Os5Pt. The functional is GGA-PBEsol.

Lattice parameters (Å, degrees): 5.138 5.138 6.421 103.39 103.39 30.89
Atoms (fractional coordinates):
Os 0.000 0.000 0.000
Os 0.055 0.055 0.619
Os 0.331 0.331 0.670
Os 0.661 0.661 0.339
Os 0.717 0.717 0.941
Pt 0.385 0.385 0.279

Properties
SG: No. 8
Energy above the most stable polymorph in this dataset: 14 meV/atom
ΔE_f: 0.0745 eV/atom
Total energy: -11.27 eV/atom


(3)
This record from Alexandria describes an optimized crystal structure of Os2Pt. The functional is GGA-PBEsol.

Lattice parameters (Å, degrees): 7.308 7.308 4.363 90.00 90.00 158.42
Atoms (fractional coordinates):
Os 0.052 0.948 0.750
Os 0.393 0.607 0.750
Os 0.607 0.393 0.250
Os 0.948 0.052 0.250
Pt 0.282 0.718 0.250
Pt 0.718 0.282 0.750

Properties
SG: No. 63
Energy above the most stable polymorph in this dataset: 0 meV/atom
ΔE_f: 0.0532 eV/atom
Total energy: -10.41 eV/atom


(4)
This record from Alexandria describes an optimized crystal structure of Os2Pt. The functional is GGA-PBEsol.

Lattice parameters (Å, degrees): 4.460 4.460 2.631 90.00 90.00 90.00
Atoms (fractional coordinates):
Os 0.000 0.500 0.000
Os 0.500 0.000 0.000
Pt 0.000 0.000 0.500

Properties
SG: No. 123
Energy above the most stable polymorph in this dataset: 1349 meV/atom
ΔE_f: 1.4019 eV/atom
Total energy: -9.06 eV/atom


(5)
This record from Alexandria describes an optimized crystal structure of OsPt. The functional is GGA-PBEsol.

Lattice parameters (Å, degrees): 2.750 2.750 8.892 90.00 90.00 120.00
Atoms (fractional coordinates):
Os 0.333 0.667 0.384
Os 0.667 0.333 0.616
Pt 0.333 0.667 0.867
Pt 0.667 0.333 0.133

Properties
SG: No. 164
ΔE_f: 0.0450 eV/atom
Total energy: -9.54 eV/atom


(6)
This record from Alexandria describes an optimized crystal structure of OsPt2. The functional is GGA-PBEsol.

Lattice parameters (Å, degrees): 4.426 4.426 2.627 90.00 90.00 120.00
Atoms (fractional coordinates):
Os 0.000 0.000 0.000
Pt 0.333 0.667 0.500
Pt 0.667 0.333 0.500

Properties
SG: No. 191
Energy above the most stable polymorph in this dataset: 282 meV/atom
ΔE_f: 0.3653 eV/atom
Total energy: -8.35 eV/atom


(7)
This record from Alexandria describes an optimized crystal structure of OsPt. The functional is GGA-PBEsol.

Lattice parameters (Å, degrees): 2.722 2.722 7.832 90.00 90.00 90.00
Atoms (fractional coordinates):
Os 0.250 0.250 0.114
Os 0.750 0.750 0.886
Pt 0.250 0.250 0.633
Pt 0.750 0.750 0.367

Properties
SG: No. 129
ΔE_f: 0.0245 eV/atom
Total energy: -9.57 eV/atom


(8)
This record from Alexandria describes an optimized crystal structure of Os2Pt. The functional is GGA-PBEsol.

Lattice parameters (Å, degrees): 6.130 6.130 6.130 154.40 154.40 36.52
Atoms (fractional coordinates):
Os 0.174 0.174 0.000
Os 0.826 0.826 0.000
Pt 0.500 0.500 0.000

Properties
SG: No. 139
Energy above the most stable polymorph in this dataset: 26 meV/atom
ΔE_f: 0.0792 eV/atom
Total energy: -10.39 eV/atom


(9)
This record from Alexandria describes an optimized crystal structure of OsPt2. The functional is GGA-PBEsol.

Lattice parameters (Å, degrees): 5.317 5.317 6.469 104.83 104.83 29.93
Atoms (fractional coordinates):
Os 0.023 0.023 0.309
Os 0.977 0.977 0.691
Pt 0.311 0.311 0.365
Pt 0.366 0.366 0.968
Pt 0.634 0.634 0.032
Pt 0.689 0.689 0.635

Properties
SG: No. 12
Energy above the most stable polymorph in this dataset: 61 meV/atom
ΔE_f: 0.1445 eV/atom
Total energy: -8.57 eV/atom


(10)
This record from Alexandria describes an optimized crystal structure of OsPt2. The functional is GGA-PBEsol.

Lattice parameters (Å, degrees): 2.746 2.746 6.707 90.00 90.00 120.00
Atoms (fractional coordinates):
Os 0.000 0.000 0.000
Pt 0.333 0.667 0.675
Pt 0.667 0.333 0.325

Properties
SG: No. 164
Energy above the most stable polymorph in this dataset: 0 meV/atom
ΔE_f: 0.0836 eV/atom
Total energy: -8.63 eV/atom


(11)
This record from Alexandria describes an optimized crystal structure of Os2Pt. The functional is GGA-PBEsol.

Lattice parameters (Å, degrees): 5.221 5.221 6.424 103.51 103.51 30.27
Atoms (fractional coordinates):
Os 0.029 0.029 0.317
Os 0.309 0.309 0.368
Os 0.691 0.691 0.632
Os 0.971 0.971 0.683
Pt 0.363 0.363 0.970
Pt 0.637 0.637 0.030

Properties
SG: No. 12
Energy above the most stable polymorph in this dataset: 21 meV/atom
ΔE_f: 0.0744 eV/atom
Total energy: -10.39 eV/atom


(12)
This record from Alexandria describes an optimized crystal structure of OsPt. The functional is GGA-PBEsol.

Lattice parameters (Å, degrees): 9.130 9.130 9.130 17.18 17.18 17.18
Atoms (fractional coordinates):
Os 0.128 0.128 0.128
Os 0.872 0.872 0.872
Pt 0.377 0.377 0.377
Pt 0.623 0.623 0.623

Properties
SG: No. 166
ΔE_f: 0.0373 eV/atom
Total energy: -9.55 eV/atom


(13)
This record from Alexandria describes an optimized crystal structure of OsPt7. The functional is GGA-PBEsol.

Lattice parameters (Å, degrees): 5.516 5.516 5.516 60.00 60.00 60.00
Atoms (fractional coordinates):
Os 0.000 0.000 0.000
Pt 0.000 0.000 0.500
Pt 0.000 0.500 0.000
Pt 0.000 0.500 0.500
Pt 0.500 0.000 0.000
Pt 0.500 0.000 0.500
Pt 0.500 0.500 0.000
Pt 0.500 0.500 0.500

Properties
SG: No. 225
ΔE_f: 0.0904 eV/atom
Total energy: -7.53 eV/atom


(14)
This record from Alexandria describes an optimized crystal structure of Os5Pt. The functional is GGA-PBEsol.

Lattice parameters (Å, degrees): 4.345 7.255 7.255 21.75 90.00 90.00
Atoms (fractional coordinates):
Os 0.000 0.000 0.000
Os 0.000 0.331 0.331
Os 0.000 0.665 0.665
Os 0.500 0.112 0.112
Os 0.500 0.772 0.772
Pt 0.500 0.442 0.442

Properties
SG: No. 38
Energy above the most stable polymorph in this dataset: 0 meV/atom
ΔE_f: 0.0602 eV/atom
Total energy: -11.28 eV/atom


(15)
This record from Alexandria describes an optimized crystal structure of OsPt2. The functional is GGA-PBEsol.

Lattice parameters (Å, degrees): 6.175 6.175 6.175 154.40 154.40 36.51
Atoms (fractional coordinates):
Os 0.000 0.000 0.000
Pt 0.340 0.340 0.000
Pt 0.660 0.660 0.000

Properties
SG: No. 139
Energy above the most stable polymorph in this dataset: 2 meV/atom
ΔE_f: 0.0859 eV/atom
Total energy: -8.63 eV/atom


(16)
This record from Alexandria describes an optimized crystal structure of RbZnOs2Pt. The functional is GGA-PBEsol.

Lattice parameters (Å, degrees): 4.669 4.669 4.755 90.00 90.00 90.00
Atoms (fractional coordinates):
Rb 0.000 0.000 0.000
Zn 0.500 0.500 0.500
Os 0.000 0.500 0.500
Os 0.500 0.000 0.500
Pt 0.500 0.500 0.000

Properties
SG: No. 123
ΔE_f: 1.9605 eV/atom
Total energy: -4.84 eV/atom


(17)
This record from Alexandria describes an optimized crystal structure of Re2OsPt. The functional is GGA-PBEsol.

Lattice parameters (Å, degrees): 9.112 9.112 9.112 17.21 17.21 17.21
Atoms (fractional coordinates):
Re 0.248 0.248 0.248
Re 0.752 0.752 0.752
Os 0.500 0.500 0.500
Pt 0.000 0.000 0.000

Properties
SG: No. 166
Energy above the most stable polymorph in this dataset: 127 meV/atom
ΔE_f: 0.0070 eV/atom
Total energy: -11.45 eV/atom


(18)
This record from Alexandria describes an optimized crystal structure of Re2OsPt. The functional is GGA-PBEsol.

Lattice parameters (Å, degrees): 2.744 4.374 4.792 90.00 90.00 90.00
Atoms (fractional coordinates):
Re 0.000 0.000 0.000
Re 0.000 0.500 0.326
Os 0.500 0.500 0.830
Pt 0.500 0.000 0.496

Properties
SG: No. 25
Energy above the most stable polymorph in this dataset: 0 meV/atom
ΔE_f: -0.1199 eV/atom
Total energy: -11.58 eV/atom


(19)
This record from Alexandria describes an optimized crystal structure of Re2OsPt. The functional is GGA-PBEsol.

Lattice parameters (Å, degrees): 4.374 4.374 4.374 60.00 60.00 60.00
Atoms (fractional coordinates):
Re 0.250 0.250 0.250
Re 0.750 0.750 0.750
Os 0.000 0.000 0.000
Pt 0.500 0.500 0.500

Properties
SG: No. 225
Energy above the most stable polymorph in this dataset: 719 meV/atom
ΔE_f: 0.5994 eV/atom
Total energy: -10.86 eV/atom


(20)
This record from Alexandria describes an optimized crystal structure of Re2OsPt. The functional is GGA-PBEsol.

Lattice parameters (Å, degrees): 4.368 4.368 4.368 60.00 60.00 60.00
Atoms (fractional coordinates):
Re 0.000 0.000 0.000
Re 0.250 0.250 0.250
Os 0.750 0.750 0.750
Pt 0.500 0.500 0.500

Properties
SG: No. 216
Energy above the most stable polymorph in this dataset: 576 meV/atom
ΔE_f: 0.4563 eV/atom
Total energy: -11.00 eV/atom